ZnIrRu2 | PBE | relaxed

Output
- Crystal system: cubic
- Formation energy from the elements: 0.250 eV per atom
- E: -27.69 eV per cell
- Space-group type: No. 216

a b c (Å): 4.329 4.329 4.329
angles (deg): 60.00 60.00 60.00
Fractional positions:
1 Zn 0.000 0.000 0.000
2 Ir 0.250 0.250 0.250
3 Ru 0.500 0.500 0.500
4 Ru 0.750 0.750 0.750